[1]
Nd2ScAu2 | PBE-GGA | relaxed Values from VASP.

Structure (Quantum ESPRESSO input):
```
&SYSTEM
  ibrav = 0, nat = 5, ntyp = 3
/
ATOMIC_SPECIES
Nd 144.24 Nd.upf
Sc 44.96 Sc.upf
Au 196.97 Au.upf
CELL_PARAMETERS angstrom
-1.960 3.474 4.814
1.960 -3.474 4.814
1.960 3.474 -4.814
ATOMIC_POSITIONS angstrom
Nd 0.000 0.000 1.964
Nd 0.000 0.000 7.665
Sc 0.000 3.474 0.000
Au 1.960 1.506 0.000
Au 0.000 1.968 4.814
```

Computed properties:
Space group: Immm, No. 71
Total magnetization: 0.00 μB per cell
Final energy: -5.098 eV/atom
Excess energy over the best structure of this formula in the dataset: 15 meV/atom
DFT formation energy: -0.614 eV per atom
V: 131.1 Å³/cell
Density: 9.2 g cm⁻³



[2]
Nd2ScAu4 | PBE-GGA | relaxed Values from VASP.

Structure (Quantum ESPRESSO input):
```
&SYSTEM
  ibrav = 0, nat = 7, ntyp = 3
/
ATOMIC_SPECIES
Nd 144.24 Nd.upf
Sc 44.96 Sc.upf
Au 196.97 Au.upf
CELL_PARAMETERS angstrom
2.498 1.442 8.343
-2.498 1.442 8.343
0.000 -2.885 8.343
ATOMIC_POSITIONS angstrom
Nd 0.000 0.000 6.038
Nd 0.000 0.000 18.992
Sc 0.000 0.000 0.000
Au 0.000 0.000 2.924
Au 0.000 0.000 9.023
Au 0.000 0.000 16.007
Au 0.000 0.000 22.106
```

Computed properties:
Space group: R-3m, No. 166
Total magnetization: 0.00 μB per cell
Final energy: -4.810 eV/atom
DFT formation energy: -0.670 eV per atom
V: 180.4 Å³/cell
Density: 10.3 g cm⁻³



[3]
Nd2ScAu6 | PBE-GGA | relaxed Values from VASP.

Structure (Quantum ESPRESSO input):
```
&SYSTEM
  ibrav = 0, nat = 9, ntyp = 3
/
ATOMIC_SPECIES
Nd 144.24 Nd.upf
Sc 44.96 Sc.upf
Au 196.97 Au.upf
CELL_PARAMETERS angstrom
2.657 -8.220 0.000
2.657 8.220 0.000
-2.629 0.000 4.544
ATOMIC_POSITIONS angstrom
Nd 2.657 5.494 0.000
Nd 2.657 -5.494 0.000
Sc 1.342 0.000 2.272
Au -1.342 0.000 3.761
Au 0.051 2.557 3.026
Au 0.051 -2.557 3.026
Au 2.633 2.557 1.519
Au 2.633 -2.557 1.519
Au 4.026 0.000 0.784
```

Computed properties:
Space group: C2/m, No. 12
Total magnetization: 0.00 μB per cell
Final energy: -4.646 eV/atom
DFT formation energy: -0.698 eV per atom
V: 198.5 Å³/cell
Density: 12.7 g cm⁻³



[4]
NdSc4Au5 | PBE-GGA | relaxed Values from VASP.

Structure (Quantum ESPRESSO input):
```
&SYSTEM
  ibrav = 0, nat = 10, ntyp = 3
/
ATOMIC_SPECIES
Nd 144.24 Nd.upf
Sc 44.96 Sc.upf
Au 196.97 Au.upf
CELL_PARAMETERS angstrom
3.441 0.000 0.000
0.000 3.441 0.000
0.000 0.000 17.555
ATOMIC_POSITIONS angstrom
Nd 0.000 0.000 0.000
Sc 0.000 0.000 3.699
Sc 0.000 0.000 7.088
Sc 0.000 0.000 10.468
Sc 0.000 0.000 13.856
Au 1.720 1.720 2.155
Au 1.720 1.720 5.394
Au 1.720 1.720 8.778
Au 1.720 1.720 12.161
Au 1.720 1.720 15.401
```

Computed properties:
Space group: P4/mmm, No. 123
Total magnetization: 0.00 μB per cell
Final energy: -5.441 eV/atom
DFT formation energy: -0.793 eV per atom
V: 207.8 Å³/cell
Density: 10.5 g cm⁻³



[5]
NdSc5Au6 | PBE-GGA | relaxed Values from VASP.

Structure (Quantum ESPRESSO input):
```
&SYSTEM
  ibrav = 0, nat = 12, ntyp = 3
/
ATOMIC_SPECIES
Nd 144.24 Nd.upf
Sc 44.96 Sc.upf
Au 196.97 Au.upf
CELL_PARAMETERS angstrom
4.882 0.000 0.000
0.000 6.909 0.000
-2.426 0.000 7.396
ATOMIC_POSITIONS angstrom
Nd 0.000 0.000 0.000
Sc 0.000 3.455 0.000
Sc 0.013 0.000 4.883
Sc 0.014 3.455 4.966
Sc 2.443 3.455 2.430
Sc 2.443 0.000 2.512
Au -0.002 1.795 2.600
Au -0.002 5.114 2.600
Au 2.441 1.884 0.000
Au 2.441 5.025 0.000
Au 2.459 1.795 4.796
Au 2.459 5.114 4.796
```

Computed properties:
Space group: P2/m, No. 10
Total magnetization: 0.00 μB per cell
Final energy: -5.447 eV/atom
DFT formation energy: -0.772 eV per atom
V: 249.5 Å³/cell
Density: 10.3 g cm⁻³



[6]
NdSc2Au4 | PBE-GGA | relaxed Values from VASP.

Structure (Quantum ESPRESSO input):
```
&SYSTEM
  ibrav = 0, nat = 7, ntyp = 3
/
ATOMIC_SPECIES
Nd 144.24 Nd.upf
Sc 44.96 Sc.upf
Au 196.97 Au.upf
CELL_PARAMETERS angstrom
4.859 0.000 0.000
0.000 4.859 0.000
0.000 0.000 6.830
ATOMIC_POSITIONS angstrom
Nd 0.000 0.000 0.000
Sc 0.000 0.000 3.415
Sc 2.429 2.429 0.000
Au 0.000 2.429 1.862
Au 0.000 2.429 4.968
Au 2.429 0.000 1.862
Au 2.429 0.000 4.968
```

Computed properties:
Space group: P4/mmm, No. 123
Total magnetization: 0.00 μB per cell
Final energy: -4.885 eV/atom
DFT formation energy: -0.522 eV per atom
V: 161.2 Å³/cell
Density: 10.5 g cm⁻³



[7]
NdSc3Au2 | PBE-GGA | relaxed Values from VASP.

Structure (Quantum ESPRESSO input):
```
&SYSTEM
  ibrav = 0, nat = 12, ntyp = 3
/
ATOMIC_SPECIES
Nd 144.24 Nd.upf
Sc 44.96 Sc.upf
Au 196.97 Au.upf
CELL_PARAMETERS angstrom
4.743 0.000 0.000
0.000 8.589 0.000
0.000 0.000 6.894
ATOMIC_POSITIONS angstrom
Nd 0.000 0.596 0.000
Nd 0.000 7.993 3.447
Sc 0.000 2.877 4.388
Sc 0.000 5.711 0.941
Sc 2.372 1.586 2.295
Sc 2.372 3.753 6.675
Sc 2.372 4.836 3.228
Sc 2.372 7.003 5.741
Au 0.000 3.086 1.665
Au 0.000 5.502 5.112
Au 2.372 1.390 5.047
Au 2.372 7.199 1.600
```

Computed properties:
Space group: Pmc2_1, No. 26
Total magnetization: 0.00 μB per cell
Final energy: -5.653 eV/atom
DFT formation energy: -0.601 eV per atom
V: 280.8 Å³/cell
Density: 8.0 g cm⁻³



[8]
NdScAu4 | PBE-GGA | relaxed Values from VASP.

Structure (Quantum ESPRESSO input):
```
&SYSTEM
  ibrav = 0, nat = 6, ntyp = 3
/
ATOMIC_SPECIES
Nd 144.24 Nd.upf
Sc 44.96 Sc.upf
Au 196.97 Au.upf
CELL_PARAMETERS angstrom
3.703 0.000 0.000
0.000 3.703 0.000
0.000 0.000 9.143
ATOMIC_POSITIONS angstrom
Nd 0.000 0.000 0.000
Sc 1.852 1.852 4.571
Au 0.000 0.000 3.158
Au 0.000 0.000 5.985
Au 1.852 1.852 1.667
Au 1.852 1.852 7.476
```

Computed properties:
Space group: P4/mmm, No. 123
Total magnetization: 0.00 μB per cell
Final energy: -4.793 eV/atom
DFT formation energy: -0.758 eV per atom
V: 125.4 Å³/cell
Density: 12.9 g cm⁻³



[9]
Nd3ScAu4 | PBE-GGA | relaxed Values from VASP.

Structure (Quantum ESPRESSO input):
```
&SYSTEM
  ibrav = 0, nat = 8, ntyp = 3
/
ATOMIC_SPECIES
Nd 144.24 Nd.upf
Sc 44.96 Sc.upf
Au 196.97 Au.upf
CELL_PARAMETERS angstrom
3.614 0.000 0.000
0.000 3.614 0.000
0.000 0.000 14.758
ATOMIC_POSITIONS angstrom
Nd 0.000 0.000 0.000
Nd 0.000 0.000 3.830
Nd 0.000 0.000 10.928
Sc 0.000 0.000 7.379
Au 1.807 1.807 1.898
Au 1.807 1.807 5.857
Au 1.807 1.807 8.901
Au 1.807 1.807 12.860
```

Computed properties:
Space group: P4/mmm, No. 123
Total magnetization: 0.00 μB per cell
Final energy: -4.975 eV/atom
DFT formation energy: -0.757 eV per atom
V: 192.8 Å³/cell
Density: 10.9 g cm⁻³



[10]
NdSc2Au | PBE-GGA | relaxed Values from VASP.

Structure (Quantum ESPRESSO input):
```
&SYSTEM
  ibrav = 0, nat = 4, ntyp = 3
/
ATOMIC_SPECIES
Nd 144.24 Nd.upf
Sc 44.96 Sc.upf
Au 196.97 Au.upf
CELL_PARAMETERS angstrom
1.780 1.028 9.546
-1.780 1.028 9.546
0.000 -2.056 9.546
ATOMIC_POSITIONS angstrom
Nd 0.000 0.000 0.000
Sc 0.000 0.000 6.765
Sc 0.000 0.000 12.458
Au 0.000 0.000 23.947
```

Computed properties:
Space group: R3m, No. 160
Total magnetization: 0.00 μB per cell
Final energy: -5.402 eV/atom
Excess energy over the best structure of this formula in the dataset: 146 meV/atom
DFT formation energy: -0.225 eV per atom
V: 104.8 Å³/cell
Density: 6.8 g cm⁻³



[11]
NdSc5Au4 | PBE-GGA | relaxed Values from VASP.

Structure (Quantum ESPRESSO input):
```
&SYSTEM
  ibrav = 0, nat = 10, ntyp = 3
/
ATOMIC_SPECIES
Nd 144.24 Nd.upf
Sc 44.96 Sc.upf
Au 196.97 Au.upf
CELL_PARAMETERS angstrom
3.399 0.000 0.000
0.000 3.399 0.000
0.000 0.000 18.784
ATOMIC_POSITIONS angstrom
Nd 0.000 0.000 0.000
Sc 1.699 1.699 2.564
Sc 1.699 1.699 5.956
Sc 1.699 1.699 9.392
Sc 1.699 1.699 12.828
Sc 1.699 1.699 16.220
Au 0.000 0.000 4.200
Au 0.000 0.000 7.683
Au 0.000 0.000 11.101
Au 0.000 0.000 14.584
```

Computed properties:
Space group: P4/mmm, No. 123
Total magnetization: 0.00 μB per cell
Final energy: -5.581 eV/atom
DFT formation energy: -0.627 eV per atom
V: 217.0 Å³/cell
Density: 8.9 g cm⁻³



[12]
NdSc2Au | PBE-GGA | relaxed Values from VASP.

Structure (Quantum ESPRESSO input):
```
&SYSTEM
  ibrav = 0, nat = 4, ntyp = 3
/
ATOMIC_SPECIES
Nd 144.24 Nd.upf
Sc 44.96 Sc.upf
Au 196.97 Au.upf
CELL_PARAMETERS angstrom
3.490 0.000 0.000
0.000 3.490 0.000
0.000 0.000 8.024
ATOMIC_POSITIONS angstrom
Nd 0.000 0.000 0.000
Sc 1.745 1.745 2.422
Sc 1.745 1.745 5.603
Au 0.000 0.000 4.012
```

Computed properties:
Space group: P4/mmm, No. 123
Total magnetization: 0.00 μB per cell
Final energy: -5.548 eV/atom
Excess energy over the best structure of this formula in the dataset: 0 meV/atom
DFT formation energy: -0.371 eV per atom
V: 97.7 Å³/cell
Density: 7.3 g cm⁻³